Entry 1:
Ba2TcO4F (PBE, optimized geometry); uncorrected formation energy = -2.307 eV/atom
1.0
3.485 0.000 0.000
1.742 5.181 0.196
1.742 1.111 7.904
Ba O Tc F
2 4 1 1
Direct
0.842 0.569 0.748 Ba
0.158 0.431 0.252 Ba
0.600 0.752 0.048 O
0.400 0.248 0.952 O
0.867 0.045 0.221 O
0.133 0.955 0.779 O
0.000 0.000 0.000 Tc
0.500 0.500 0.500 F

Entry 2:
TlTcSeBr2 (PBE, optimized geometry); uncorrected formation energy = 0.824 eV/atom; distance to the lowest polymorph of the same formula = 0.9821 eV per atom
1.0
5.575 0.000 0.000
0.000 5.575 0.000
0.000 0.000 5.450
Br Se Tc Tl
2 1 1 1
Direct
0.000 0.500 0.000 Br
0.500 0.000 0.000 Br
0.000 0.000 0.500 Se
0.500 0.500 0.500 Tc
0.000 0.000 0.000 Tl